This record from the Alexandria database describes a relaxed structure of Ba13Sr3. The functional is GGA-PBE.

Lattice parameters (Å, degrees): 8.841 14.571 15.320 90.00 90.00 90.00
Space group Amm2 (No. 38)
One atom of each set of equivalent atoms:
1 Ba 0.000 0.000 0.000 (multiplicity 2)
2 Ba 0.000 0.000 0.494 (multiplicity 2)
3 Ba 0.000 0.247 0.165 (multiplicity 4)
4 Ba 0.250 0.248 0.414 (multiplicity 8)
5 Ba 0.251 0.000 0.746 (multiplicity 4)
6 Ba 0.500 0.000 0.000 (multiplicity 2)
7 Ba 0.500 0.249 0.164 (multiplicity 4)
8 Sr 0.251 0.000 0.248 (multiplicity 4)
9 Sr 0.500 0.000 0.495 (multiplicity 2)

Output
The total DFT energy (no corrections) is -59.63 eV per cell.